Below is a PBEsol-optimized structure of ScPbAu4, with properties calculated at the SCAN level.

```
data_ScPbAu4
_chemical_formula_sum 'Sc1 Pb1 Au4'
_space_group_name_H-M_alt 'P 1'
_space_group_IT_number 1
_space_group_name_Hall 'P 1'
_cell_length_a 5.5068
_cell_length_b 5.5068
_cell_length_c 5.5068
_cell_angle_alpha 60.00
_cell_angle_beta 60.00
_cell_angle_gamma 60.00
loop_
_atom_site_label
_atom_site_fract_x
_atom_site_fract_y
_atom_site_fract_z
Sc1 0.0000 0.0000 0.0000
Pb1 0.7500 0.7500 0.7500
Au1 0.3746 0.3746 0.3746
Au2 0.3746 0.3746 0.8763
Au3 0.3746 0.8763 0.3746
Au4 0.8763 0.3746 0.3746
```

Output
Formation energy (eV per atom): -0.310


Below is a PBEsol-optimized structure of TaTlH2Rh, with properties calculated at the SCAN level.

```
data_TaTlH2Rh
_chemical_formula_sum 'Ta1 Tl1 H2 Rh1'
_space_group_name_H-M_alt 'P 1'
_space_group_IT_number 1
_space_group_name_Hall 'P 1'
_cell_length_a 3.8548
_cell_length_b 3.8548
_cell_length_c 4.9388
_cell_angle_alpha 90.00
_cell_angle_beta 90.00
_cell_angle_gamma 90.00
loop_
_atom_site_label
_atom_site_fract_x
_atom_site_fract_y
_atom_site_fract_z
Ta1 0.0000 0.0000 0.0000
Tl1 0.5000 0.5000 0.0000
H1 0.0000 0.5000 0.5000
H2 0.5000 0.0000 0.5000
Rh1 0.0000 0.0000 0.5000
```

Output
E_tot (eV/atom): -35.290


Below is a PBEsol-optimized structure of TcHg2P, with properties calculated at the SCAN level.

```
data_TcHg2P
_chemical_formula_sum 'Tc1 Hg2 P1'
_space_group_name_H-M_alt 'P 1'
_space_group_IT_number 1
_space_group_name_Hall 'P 1'
_cell_length_a 3.3507
_cell_length_b 4.2573
_cell_length_c 4.8217
_cell_angle_alpha 90.00
_cell_angle_beta 90.00
_cell_angle_gamma 90.00
loop_
_atom_site_label
_atom_site_fract_x
_atom_site_fract_y
_atom_site_fract_z
Tc1 0.0000 0.0000 0.0000
Hg1 0.0000 0.5000 0.5000
Hg2 0.5000 0.0000 0.5000
P1 0.5000 0.5000 0.0000
```

Output
Formation energy (eV per atom): 0.799